! GGA-PBE Ni3Sb4, relaxed; values from VASP
&SYSTEM
  ibrav = 0, nat = 7, ntyp = 2
/
ATOMIC_SPECIES
Ni 58.69 Ni.upf
Sb 121.76 Sb.upf
CELL_PARAMETERS angstrom
2.534 -4.390 0.000
2.534 4.390 0.000
0.000 0.000 6.172
ATOMIC_POSITIONS crystal
Ni 0.000 0.500 0.000
Ni 0.500 0.000 0.000
Ni 0.500 0.500 0.000
Sb 0.000 0.000 0.226
Sb 0.667 0.333 0.500
Sb 0.000 0.000 0.774
Sb 0.333 0.667 0.500
! Space-group type: P6/mmm (191)
! N(E_F) (states/eV/cell): 4.96
! Raw formation energy (eV per atom): 0.306
! Calculated density (Mg/m³): 8.02
! Spin magnetization (μB/f.u.): 0.0